Material: GaFe2HgO
Method: DFT, PBE+U
State: optimized geometry

## Properties
M_tot ... 7.16 Bohr magnetons per cell
E_tot ... -3.87 eV per atom
Mass density ... 7.32 g/cm³

Cell: 4.0517 4.0517 5.5020 Å, 90.00 90.00 90.00°
Fractional coordinates of all 5 atoms:
Ga 0.0000 0.0000 0.0000
Fe 0.0000 0.5000 0.5000
Fe 0.5000 0.0000 0.5000
Hg 0.5000 0.5000 0.0000
O 0.5000 0.5000 0.5000